(1)
A relaxed Zn2AsBr crystal. Source: the Alexandria database, functional PBEsol.

Lattice parameters (Å, degrees): 3.6133 3.6133 6.4430 90.00 90.00 90.00
Positions (direct):
Zn (0.5000, 0.5000, 0.3662)
Zn (0.0000, 0.0000, 0.9742)
Br (0.5000, 0.5000, 0.8151)
As (0.0000, 0.0000, 0.3445)

Offset from the most stable computed form, eV per atom: 0.1963
Calculated volume, Å³ per atom: 21.0
Total magnetic moment, μB per formula unit: 0.00
Fermi-level density of states, states/eV/cell: 0.923
E_form (uncorrected), eV/atom: -0.152

***

(2)
A relaxed Zn2AsBr crystal. Source: the Alexandria database, functional PBEsol.

Lattice parameters (Å, degrees): 5.7406 5.7406 7.1724 113.59 113.59 90.00
Positions (direct):
Zn (0.1250, 0.1750, 0.7500)
Br (0.2500, 0.7500, 0.5000)
As (0.7500, 0.2500, 0.5000)
Zn (0.6250, 0.5750, 0.7500)
Zn (0.8250, 0.3750, 0.2500)
As (0.5000, 0.5000, 0.0000)
Zn (0.4250, 0.8750, 0.2500)
Br (0.0000, 0.0000, 0.0000)

Offset from the most stable computed form, eV per atom: 0.0000
Calculated volume, Å³ per atom: 24.4
Total magnetic moment, μB per formula unit: 0.00
E_form (uncorrected), eV/atom: -0.348

***

Question: What is the E_form (uncorrected) in the second record?
Answer: -0.348 eV/atom

***

Question: Look up the total magnetic moment of the first one.
Answer: 0.00 μB per formula unit

***

Please write out number 1 again, unchanged.
A relaxed Zn2AsBr crystal. Source: the Alexandria database, functional PBEsol.

Lattice parameters (Å, degrees): 3.6133 3.6133 6.4430 90.00 90.00 90.00
Positions (direct):
Zn (0.5000, 0.5000, 0.3662)
Zn (0.0000, 0.0000, 0.9742)
Br (0.5000, 0.5000, 0.8151)
As (0.0000, 0.0000, 0.3445)

Offset from the most stable computed form, eV per atom: 0.1963
Calculated volume, Å³ per atom: 21.0
Total magnetic moment, μB per formula unit: 0.00
Fermi-level density of states, states/eV/cell: 0.923
E_form (uncorrected), eV/atom: -0.152

***

Question: The highest offset from the most stable computed form belongs to which entry?
Answer: number 1